No. 1
Pr2DyAu2: optimized geometry, GGA-PBE.

It has space group Immm (No. 71), with a = 4.020 Å, b = 7.148 Å, c = 9.885 Å, α = 90.00°, β = 90.00° and γ = 90.00°. The asymmetric unit holds Pr at (0.000, 0.000, 0.199), Dy at (0.000, 0.500, 0.000) and Au at (0.000, 0.292, 0.500).

The value obtained for the energy above the most stable polymorph in this dataset is 32 meV/atom. The total moment comes out at 0.00 μB per formula unit. The raw total energy is -4.748 eV per atom. The calculation puts the energy relative to the elements at -0.605 eV/atom.

---

No. 2
PrDy2Au2: optimized geometry, GGA-PBE.

It has space group P4/mbm (No. 127), with a = 8.302 Å, b = 8.302 Å, c = 3.802 Å, α = 90.00°, β = 90.00° and γ = 90.00°. The asymmetric unit holds Pr at (0.000, 0.000, 0.000), Dy at (0.162, 0.338, 0.500) and Au at (0.130, 0.630, 0.000).

The value obtained for the energy above the most stable polymorph in this dataset is 0 meV/atom. The total moment comes out at 0.00 μB per formula unit. The raw total energy is -4.781 eV per atom. The calculation puts the energy relative to the elements at -0.674 eV/atom.

---

No. 3
PrDy2Au: optimized geometry, GGA-PBE.

It has space group Pnma (No. 62), with a = 7.019 Å, b = 10.065 Å, c = 6.693 Å, α = 90.00°, β = 90.00° and γ = 90.00°. The asymmetric unit holds Pr at (0.001, 0.250, 0.130), Dy at (0.185, 0.052, 0.677) and Au at (0.107, 0.750, 0.425).

The value obtained for the energy above the most stable polymorph in this dataset is 0 meV/atom. The total moment comes out at 0.00 μB per formula unit. The raw total energy is -4.738 eV per atom. The calculation puts the energy relative to the elements at -0.423 eV/atom.

---

No. 4
Pr2Dy3Au4: optimized geometry, GGA-PBE.

It has space group Cmce (No. 64), with a = 7.112 Å, b = 17.723 Å, c = 7.612 Å, α = 90.00°, β = 90.00° and γ = 90.00°. The asymmetric unit holds Pr at (0.000, 0.097, 0.080), Dy at (0.000, 0.000, 0.500), Dy at (0.250, 0.236, 0.750), Au at (0.000, 0.169, 0.470) and Au at (0.250, 0.066, 0.750).

The total moment comes out at 0.00 μB per formula unit. The raw total energy is -4.722 eV per atom. The calculation puts the energy relative to the elements at -0.669 eV/atom.

---

No. 5
PrDyAu2: optimized geometry, GGA-PBE.

It has space group P4/mmm (No. 123), with a = 3.635 Å, b = 3.635 Å, c = 7.471 Å, α = 90.00°, β = 90.00° and γ = 90.00°. The asymmetric unit holds Pr at (0.000, 0.000, 0.000), Dy at (0.000, 0.000, 0.500) and Au at (0.500, 0.500, 0.275).

The value obtained for the energy above the most stable polymorph in this dataset is 9 meV/atom. The total moment comes out at 0.00 μB per formula unit. The raw total energy is -4.796 eV per atom. The calculation puts the energy relative to the elements at -0.812 eV/atom.

---

No. 6
PrDyAu2: optimized geometry, GGA-PBE.

It has space group Pm (No. 6), with a = 3.828 Å, b = 4.763 Å, c = 5.932 Å, α = 90.00°, β = 108.92° and γ = 90.00°. The asymmetric unit holds Pr at (0.000, 0.000, 0.000), Dy at (0.277, 0.500, 0.552), Au at (0.554, 0.500, 0.108) and Au at (0.728, 0.000, 0.456).

The value obtained for the energy above the most stable polymorph in this dataset is 0 meV/atom. The total moment comes out at 0.00 μB per formula unit. The raw total energy is -4.805 eV per atom. The calculation puts the energy relative to the elements at -0.820 eV/atom.